Record 1
Compound: Na3Np2N4
Source: Alexandria via LeMat-Bulk
Functional: PBE-GGA
Structure: optimized geometry

Cell: 3.6504 6.0166 7.5368 Å, 90.90 75.99 72.34°
Closest atoms and distances in Å follow each position.
Atoms (fractional coordinates):
Np 0.6648 0.0504 0.6201  1 N 1.89
N 0.2328 0.8550 0.6794  3 Np 2.21-2.31, 1 Na 2.41
Na 0.1796 0.4589 0.1818  3 N 2.51-2.65
N 0.4553 0.2458 0.8437  1 Np 1.89
N 0.7672 0.1450 0.3206  3 Np 2.21-2.31, 1 Na 2.41
Na 0.0000 0.0000 0.0000  6 N 2.41-2.63
Na 0.8204 0.5411 0.8182  3 N 2.51-2.65
N 0.5447 0.7542 0.1563  1 Np 1.89
Np 0.3352 0.9496 0.3799  1 N 1.89

Computed properties:
formation energy without anion corrections: -0.389 eV/atom
ρ: 6530 kg/m³
SG: C2/m
calculated total energy: -66.642 eV/cell

Record 2
Compound: Na2NpN2
Source: Alexandria via LeMat-Bulk
Functional: PBE-GGA
Structure: optimized geometry

Cell: 3.4944 3.4943 9.1276 Å, 78.96 78.96 60.00°
Closest atoms and distances in Å follow each position.
Atoms (fractional coordinates):
Np 0.0000 0.0000 0.0000  6 N 2.26
Na 0.7711 0.7711 0.6866  3 N 2.68
N 0.6281 0.6281 0.1156  3 Np 2.26
Na 0.2289 0.2289 0.3134  3 N 2.68
N 0.3719 0.3719 0.8844  3 Np 2.26

Computed properties:
formation energy without anion corrections: -0.645 eV/atom
ρ: 5486 kg/m³
SG: R-3m
calculated total energy: -35.456 eV/cell

Record 3
Compound: Na6NpN4
Source: Alexandria via LeMat-Bulk
Functional: PBE-GGA
Structure: optimized geometry

Cell: 5.4525 8.0794 8.0794 Å, 90.00 90.00 90.00°
Closest atoms and distances in Å follow each position.
Atoms (fractional coordinates):
Na 0.6785 0.0000 0.5000  4 N 2.45-2.52, 2 Na 2.73
Na 0.3215 0.5000 0.0000  4 N 2.45-2.52, 2 Na 2.73
N 0.4163 0.0000 0.7567  1 Np 2.02
N 0.9163 0.7433 0.5000  1 Np 2.02
N 0.0837 0.5000 0.7433  1 Np 2.02
Na 0.1785 0.0000 0.5000  4 N 2.45-2.52, 2 Na 2.73
N 0.5837 0.2433 0.0000  1 Np 2.02
Na 0.5000 0.2949 0.2949  2 N 2.46
Na 0.5000 0.7051 0.7051  2 N 2.46
Na 0.5000 0.7051 0.2949  2 N 2.46
Na 0.0000 0.2051 0.7949  2 N 2.46
Np 0.5000 0.0000 0.0000  4 N 2.02
Na 0.0000 0.7949 0.7949  2 N 2.46
N 0.0837 0.5000 0.2567  1 Np 2.02
Na 0.5000 0.2949 0.7051  2 N 2.46
N 0.9163 0.2567 0.5000  1 Np 2.02
Np 0.0000 0.5000 0.5000  4 N 2.02
Na 0.0000 0.7949 0.2051  2 N 2.46
N 0.4163 0.0000 0.2433  1 Np 2.02
N 0.5837 0.7567 0.0000  1 Np 2.02
Na 0.8215 0.5000 0.0000  4 N 2.45-2.52, 2 Na 2.73
Na 0.0000 0.2051 0.2051  2 N 2.46

Computed properties:
formation energy without anion corrections: -0.212 eV/atom
ρ: 4021 kg/m³
SG: P4_2/nmc
calculated total energy: -112.984 eV/cell

Record 4
Compound: Na2NpN3
Source: Alexandria via LeMat-Bulk
Functional: PBE-GGA
Structure: optimized geometry

Cell: 5.9094 5.9092 6.0317 Å, 100.11 100.11 119.53°
Closest atoms and distances in Å follow each position.
Atoms (fractional coordinates):
Np 0.6659 0.3341 0.0000  6 N 2.10-2.15
Na 0.3333 0.6667 0.0000  6 N 2.52-2.56
N 0.6540 0.9873 0.8058  2 Np 2.14
N 0.2714 0.2165 0.8113  2 Np 2.10-2.15
N 0.0127 0.3460 0.1942  2 Np 2.14
Na 0.1750 0.8250 0.5000  4 N 2.45-2.68
N 0.7835 0.7286 0.1887  2 Np 2.10-2.15
N 0.3953 0.1168 0.1887  2 Np 2.10-2.15
N 0.8832 0.6048 0.8113  2 Np 2.10-2.15
Na 0.4917 0.5083 0.5000  4 N 2.45-2.68
Np 0.0008 0.9993 0.0000  6 N 2.10-2.15
Na 0.8333 0.1667 0.5000  2 N 2.43

Computed properties:
formation energy without anion corrections: -0.630 eV/atom
ρ: 6283 kg/m³
SG: C2/m
calculated total energy: -88.670 eV/cell

Record 5
Compound: Na2NpP2N6
Source: Alexandria via LeMat-Bulk
Functional: PBE-GGA
Structure: optimized geometry

Cell: 5.6608 5.6608 6.6499 Å, 64.81 64.81 60.00°
Closest atoms and distances in Å follow each position.
Atoms (fractional coordinates):
P 0.5922 0.5922 0.2233  3 N 1.58
N 0.7322 0.2501 0.7676  1 P 1.58
P 0.4078 0.4078 0.7767  3 N 1.58
N 0.2501 0.7322 0.7676  1 P 1.58
N 0.2501 0.2501 0.7676  1 P 1.58
Np 0.0000 0.0000 0.0000  6 N 2.16
N 0.7499 0.7499 0.2324  1 P 1.58
N 0.7499 0.2678 0.2324  1 P 1.58
Na 0.8001 0.8001 0.5997  9 N 2.72-2.99
N 0.2678 0.7499 0.2324  1 P 1.58
Na 0.1999 0.1999 0.4003  9 N 2.72-2.99

Computed properties:
formation energy without anion corrections: -0.411 eV/atom
ρ: 4432 kg/m³
SG: R-3m
calculated total energy: -80.877 eV/cell

Record 6
Compound: Na4Np3PN8
Source: Alexandria via LeMat-Bulk
Functional: PBE-GGA
Structure: optimized geometry

Cell: 6.7857 6.8540 6.7871 Å, 119.67 119.99 90.00°
Closest atoms and distances in Å follow each position.
Atoms (fractional coordinates):
N 0.2832 0.3172 0.0501  2 Np 2.18-2.19, 1 P 2.27
N 0.2331 0.6829 0.4662  2 Np 2.18, 1 P 2.27
N 0.2331 0.6828 0.9499  2 Np 2.18-2.19, 1 P 2.27
Na 0.5000 0.0000 0.0000  6 N 2.60
Na 0.0000 0.0000 0.0000  6 N 2.62-2.67
Na 0.5000 0.0000 0.5000  6 N 2.63-2.67
Np 0.5000 0.5000 0.0000  6 N 2.18-2.23
Np 0.5000 0.5000 0.5000  6 N 2.18-2.23
Na 0.0000 0.0000 0.5000  6 N 2.63-2.67
P 0.0000 0.5000 0.0000  6 N 2.27
N 0.7168 0.6828 0.9499  2 Np 2.18-2.19, 1 P 2.27
N 0.7669 0.3172 0.0501  2 Np 2.18-2.19, 1 P 2.27
N 0.7299 0.6892 0.4597  3 Np 2.23
N 0.7669 0.3171 0.5338  2 Np 2.18, 1 P 2.27
Np 0.0000 0.5000 0.5000  6 N 2.18-2.23
N 0.2701 0.3108 0.5403  3 Np 2.23

Computed properties:
formation energy without anion corrections: -0.525 eV/atom
ρ: 7003 kg/m³
SG: R-3m
calculated total energy: -124.516 eV/cell